TiFeO3 | PBE with a Hubbard U | optimized geometry

a = 5.508 Å, b = 5.552 Å, c = 5.896 Å
α = 68.40°, β = 66.66°, γ = 71.71°
Last column: magnetic moment on the atom in μB.
Sites, in units of the cell vectors:
Fe (0.557, 0.413, 0.257)  3.75
Fe (0.443, 0.587, 0.743)  3.75
O (0.307, 0.340, 0.616)  0.04
O (0.097, 0.842, 0.861)  0.03
O (0.545, 0.778, 0.953)  0.04
O (0.693, 0.660, 0.384)  0.04
O (0.903, 0.158, 0.139)  0.03
O (0.455, 0.222, 0.047)  0.04
Ti (0.252, 0.091, 0.918)  0.06
Ti (0.748, 0.909, 0.082)  0.06

## Properties
Total moment ... 8.0 μB/cell
Uncorrected energy ... -8.0175 eV per atom
V ... 151 Å³ per cell